Rb2NaYCl6 (PBE-GGA, relaxed); total magnetization = 0.00 μB per cell; formation energy without anion corrections = -21.10 eV per formula unit
1.0
-0.703 1.848 7.263
6.452 -3.874 1.610
5.759 8.894 -1.679
Cl Rb Na Y
12 4 2 2
direct
0.300 0.720 0.464
0.800 0.780 0.964
0.931 0.514 0.242
0.218 0.201 0.465
0.431 0.986 0.742
0.782 0.799 0.535
0.282 0.701 0.035
0.569 0.014 0.258
0.200 0.220 0.036
0.069 0.486 0.758
0.700 0.280 0.536
0.718 0.299 0.965
0.012 0.951 0.251
0.512 0.549 0.751
0.988 0.049 0.749
0.488 0.451 0.249
0.500 0.000 0.000
0.000 0.500 0.500
0.000 0.500 0.000
0.500 0.000 0.500